[1]
! Li2Mg2In2CoCu (PBE, optimized geometry); values from VASP
&SYSTEM
  ibrav = 0, nat = 8, ntyp = 5
/
ATOMIC_SPECIES
Li 6.94 Li.upf
Mg 24.30 Mg.upf
In 114.82 In.upf
Co 58.93 Co.upf
Cu 63.55 Cu.upf
CELL_PARAMETERS angstrom
4.4855 0.0000 0.0000
0.0000 4.4855 0.0000
0.0000 0.0000 6.3989
ATOMIC_POSITIONS angstrom
Li 0.0000 0.0000 0.0000
Li 2.2428 2.2428 3.1995
Mg 0.0000 2.2428 1.5519
Mg 2.2428 0.0000 4.8471
In 0.0000 2.2428 4.8701
In 2.2428 0.0000 1.5288
Co 2.2428 2.2428 0.0000
Cu 0.0000 0.0000 3.1995
! Calculated volume in Å³/cell: 128.7
! Uncorrected energy in eV per atom: -3.050

---

[2]
! MgIn2CoCu4 (PBE, optimized geometry); values from VASP
&SYSTEM
  ibrav = 0, nat = 8, ntyp = 4
/
ATOMIC_SPECIES
Mg 24.30 Mg.upf
In 114.82 In.upf
Co 58.93 Co.upf
Cu 63.55 Cu.upf
CELL_PARAMETERS angstrom
4.3433 0.0000 0.0000
0.0000 4.3433 0.0000
0.0000 0.0000 6.2514
ATOMIC_POSITIONS angstrom
Mg 0.0000 0.0000 0.0000
In 0.0000 0.0000 3.1257
In 2.1716 2.1716 0.0000
Co 2.1716 2.1716 3.1257
Cu 0.0000 2.1716 1.6369
Cu 0.0000 2.1716 4.6145
Cu 2.1716 0.0000 1.6369
Cu 2.1716 0.0000 4.6145
! Calculated volume in Å³/cell: 117.9
! Uncorrected energy in eV per atom: -3.556

---

[3]
! InCoCuMo (PBE, optimized geometry); values from VASP
&SYSTEM
  ibrav = 0, nat = 16, ntyp = 4
/
ATOMIC_SPECIES
In 114.82 In.upf
Co 58.93 Co.upf
Cu 63.55 Cu.upf
Mo 95.94 Mo.upf
CELL_PARAMETERS angstrom
6.1471 0.0000 0.0000
0.0000 6.1471 0.0000
0.0000 0.0000 6.1471
ATOMIC_POSITIONS angstrom
In 0.0000 0.0000 0.0000
In 0.0000 3.0736 3.0736
In 3.0736 0.0000 3.0736
In 3.0736 3.0736 0.0000
Co 1.5368 1.5368 1.5368
Co 1.5368 4.6103 4.6103
Co 4.6103 1.5368 4.6103
Co 4.6103 4.6103 1.5368
Cu 1.5368 1.5368 4.6103
Cu 1.5368 4.6103 1.5368
Cu 4.6103 1.5368 1.5368
Cu 4.6103 4.6103 4.6103
Mo 0.0000 0.0000 3.0736
Mo 0.0000 3.0736 0.0000
Mo 3.0736 0.0000 0.0000
Mo 3.0736 3.0736 3.0736
! Calculated volume in Å³/cell: 232.3
! Uncorrected energy in eV per atom: -5.833

---

[4]
! Zr2In2CoCu2Pd (PBE, optimized geometry); values from VASP
&SYSTEM
  ibrav = 0, nat = 8, ntyp = 5
/
ATOMIC_SPECIES
Zr 91.22 Zr.upf
In 114.82 In.upf
Co 58.93 Co.upf
Cu 63.55 Cu.upf
Pd 106.42 Pd.upf
CELL_PARAMETERS angstrom
4.5470 0.0000 0.0000
0.0000 4.5470 0.0000
0.0000 0.0000 6.5141
ATOMIC_POSITIONS angstrom
Zr 0.0000 2.2735 1.5605
Zr 2.2735 0.0000 4.9536
In 0.0000 2.2735 4.9222
In 2.2735 0.0000 1.5919
Co 2.2735 2.2735 0.0000
Cu 0.0000 0.0000 0.0000
Cu 2.2735 2.2735 3.2570
Pd 0.0000 0.0000 3.2570
! Calculated volume in Å³/cell: 134.7
! Uncorrected energy in eV per atom: -5.627

---

[5]
! InCoCuPt (PBE, optimized geometry); values from VASP
&SYSTEM
  ibrav = 0, nat = 16, ntyp = 4
/
ATOMIC_SPECIES
In 114.82 In.upf
Co 58.93 Co.upf
Cu 63.55 Cu.upf
Pt 195.08 Pt.upf
CELL_PARAMETERS angstrom
6.1858 0.0000 0.0000
0.0000 6.1858 0.0000
0.0000 0.0000 6.1858
ATOMIC_POSITIONS angstrom
In 0.0000 0.0000 0.0000
In 0.0000 3.0929 3.0929
In 3.0929 0.0000 3.0929
In 3.0929 3.0929 0.0000
Co 1.5465 1.5465 1.5465
Co 1.5465 4.6394 4.6394
Co 4.6394 1.5465 4.6394
Co 4.6394 4.6394 1.5465
Cu 0.0000 0.0000 3.0929
Cu 0.0000 3.0929 0.0000
Cu 3.0929 0.0000 0.0000
Cu 3.0929 3.0929 3.0929
Pt 1.5465 1.5465 4.6394
Pt 1.5465 4.6394 1.5465
Pt 4.6394 1.5465 1.5465
Pt 4.6394 4.6394 4.6394
! Calculated volume in Å³/cell: 236.7
! Uncorrected energy in eV per atom: -4.935

---

[6]
! InCoCuS3 (PBE, optimized geometry); values from VASP
&SYSTEM
  ibrav = 0, nat = 12, ntyp = 4
/
ATOMIC_SPECIES
In 114.82 In.upf
Co 58.93 Co.upf
Cu 63.55 Cu.upf
S 32.06 S.upf
CELL_PARAMETERS angstrom
1.7699 -6.2637 0.0000
1.7699 6.2637 0.0000
0.0000 0.0000 9.0381
ATOMIC_POSITIONS angstrom
In 1.7699 3.2100 6.7786
In 1.7699 -3.2100 2.2595
Co 0.0000 0.0000 0.0000
Co 0.0000 0.0000 4.5190
Cu 1.7699 0.3605 2.2595
Cu 1.7699 -0.3605 6.7786
S 1.7699 5.2581 2.2595
S 1.7699 1.5382 0.3541
S 1.7699 1.5382 4.1649
S 1.7699 -1.5382 4.8732
S 1.7699 -1.5382 8.6839
S 1.7699 -5.2581 6.7786
! Calculated volume in Å³/cell: 200.4
! Uncorrected energy in eV per atom: -4.478

---

[7]
! InCoCuSe2S (PBE, optimized geometry); values from VASP
&SYSTEM
  ibrav = 0, nat = 12, ntyp = 5
/
ATOMIC_SPECIES
In 114.82 In.upf
Co 58.93 Co.upf
Cu 63.55 Cu.upf
Se 78.96 Se.upf
S 32.06 S.upf
CELL_PARAMETERS angstrom
1.8232 -6.6306 0.0000
1.8232 6.6306 0.0000
0.0000 0.0000 9.1428
ATOMIC_POSITIONS angstrom
In 1.8232 3.3413 6.8571
In 1.8232 -3.3413 2.2857
Co 1.8232 0.0000 0.0000
Co 1.8232 0.0000 4.5714
Cu 1.8232 6.3157 2.2857
Cu 1.8232 -6.3157 6.8571
Se 1.8232 4.9592 0.3478
Se 1.8232 4.9592 4.2236
Se 1.8232 -4.9592 4.9192
Se 1.8232 -4.9592 8.7950
S 1.8232 0.9538 2.2857
S 1.8232 -0.9538 6.8571
! Calculated volume in Å³/cell: 221.1
! Uncorrected energy in eV per atom: -4.254

---

[8]
! InCoCuTeS2 (PBE, optimized geometry); values from VASP
&SYSTEM
  ibrav = 0, nat = 12, ntyp = 5
/
ATOMIC_SPECIES
In 114.82 In.upf
Co 58.93 Co.upf
Cu 63.55 Cu.upf
Te 127.60 Te.upf
S 32.06 S.upf
CELL_PARAMETERS angstrom
1.7057 -7.1173 0.0000
1.7057 7.1173 0.0000
0.0000 0.0000 9.8803
ATOMIC_POSITIONS angstrom
In 1.7057 3.9182 7.4102
In 1.7057 -3.9182 2.4701
Co 1.7057 0.0000 0.0000
Co 1.7057 0.0000 4.9401
Cu 1.7057 5.3299 2.4701
Cu 1.7057 -5.3299 7.4102
Te 1.7057 0.6190 2.4701
Te 1.7057 -0.6190 7.4102
S 1.7057 5.6055 0.2391
S 1.7057 5.6055 4.7011
S 1.7057 -5.6055 5.1792
S 1.7057 -5.6055 9.6412
! Calculated volume in Å³/cell: 239.9
! Uncorrected energy in eV per atom: -4.327

---

[9]
! ScInCoCu (PBE, optimized geometry); values from VASP
&SYSTEM
  ibrav = 0, nat = 16, ntyp = 4
/
ATOMIC_SPECIES
Sc 44.96 Sc.upf
In 114.82 In.upf
Co 58.93 Co.upf
Cu 63.55 Cu.upf
CELL_PARAMETERS angstrom
6.3706 0.0000 0.0000
0.0000 6.3706 0.0000
0.0000 0.0000 6.3706
ATOMIC_POSITIONS angstrom
Sc 0.0000 0.0000 0.0000
Sc 0.0000 3.1853 3.1853
Sc 3.1853 0.0000 3.1853
Sc 3.1853 3.1853 0.0000
In 1.5926 1.5926 1.5926
In 1.5926 4.7779 4.7779
In 4.7779 1.5926 4.7779
In 4.7779 4.7779 1.5926
Co 1.5926 1.5926 4.7779
Co 1.5926 4.7779 1.5926
Co 4.7779 1.5926 1.5926
Co 4.7779 4.7779 4.7779
Cu 0.0000 0.0000 3.1853
Cu 0.0000 3.1853 0.0000
Cu 3.1853 0.0000 0.0000
Cu 3.1853 3.1853 3.1853
! Calculated volume in Å³/cell: 258.5
! Uncorrected energy in eV per atom: -4.957

---

[10]
! Sc2In4CoCu (PBE, optimized geometry); values from VASP
&SYSTEM
  ibrav = 0, nat = 16, ntyp = 4
/
ATOMIC_SPECIES
Sc 44.96 Sc.upf
In 114.82 In.upf
Co 58.93 Co.upf
Cu 63.55 Cu.upf
CELL_PARAMETERS angstrom
7.1944 0.0000 0.0000
0.0000 4.2754 0.0000
0.0000 0.0000 10.2060
ATOMIC_POSITIONS angstrom
Sc 0.0000 0.0000 0.0000
Sc 0.0000 2.1377 5.1030
Sc 3.5972 0.0000 1.3710
Sc 3.5972 2.1377 6.4739
In 1.4534 0.0000 7.1542
In 1.4534 2.1377 2.0512
In 2.0945 0.0000 4.2969
In 2.0945 2.1377 9.3999
In 5.0998 0.0000 4.2969
In 5.0998 2.1377 9.3999
In 5.7410 0.0000 7.1542
In 5.7410 2.1377 2.0512
Co 0.0000 0.0000 2.6886
Co 0.0000 2.1377 7.7916
Cu 3.5972 0.0000 8.7294
Cu 3.5972 2.1377 3.6264
! Calculated volume in Å³/cell: 313.9
! Uncorrected energy in eV per atom: -4.553

---

[11]
! ScInCoCu (PBE, optimized geometry); values from VASP
&SYSTEM
  ibrav = 0, nat = 16, ntyp = 4
/
ATOMIC_SPECIES
Sc 44.96 Sc.upf
In 114.82 In.upf
Co 58.93 Co.upf
Cu 63.55 Cu.upf
CELL_PARAMETERS angstrom
6.3116 0.0000 0.0000
0.0000 6.3116 0.0000
0.0000 0.0000 6.3116
ATOMIC_POSITIONS angstrom
Sc 0.0000 0.0000 0.0000
Sc 0.0000 3.1558 3.1558
Sc 3.1558 0.0000 3.1558
Sc 3.1558 3.1558 0.0000
In 0.0000 0.0000 3.1558
In 0.0000 3.1558 0.0000
In 3.1558 0.0000 0.0000
In 3.1558 3.1558 3.1558
Co 1.5779 1.5779 1.5779
Co 1.5779 4.7337 4.7337
Co 4.7337 1.5779 4.7337
Co 4.7337 4.7337 1.5779
Cu 1.5779 1.5779 4.7337
Cu 1.5779 4.7337 1.5779
Cu 4.7337 1.5779 1.5779
Cu 4.7337 4.7337 4.7337
! Calculated volume in Å³/cell: 251.4
! Uncorrected energy in eV per atom: -5.192

---

[12]
! ScInCoCu (PBE, optimized geometry); values from VASP
&SYSTEM
  ibrav = 0, nat = 16, ntyp = 4
/
ATOMIC_SPECIES
Sc 44.96 Sc.upf
In 114.82 In.upf
Co 58.93 Co.upf
Cu 63.55 Cu.upf
CELL_PARAMETERS angstrom
6.3457 0.0000 0.0000
0.0000 6.3457 0.0000
0.0000 0.0000 6.3457
ATOMIC_POSITIONS angstrom
Sc 0.0000 0.0000 0.0000
Sc 0.0000 3.1728 3.1728
Sc 3.1728 0.0000 3.1728
Sc 3.1728 3.1728 0.0000
In 1.5864 1.5864 1.5864
In 1.5864 4.7593 4.7593
In 4.7593 1.5864 4.7593
In 4.7593 4.7593 1.5864
Co 0.0000 0.0000 3.1728
Co 0.0000 3.1728 0.0000
Co 3.1728 0.0000 0.0000
Co 3.1728 3.1728 3.1728
Cu 1.5864 1.5864 4.7593
Cu 1.5864 4.7593 1.5864
Cu 4.7593 1.5864 1.5864
Cu 4.7593 4.7593 4.7593
! Calculated volume in Å³/cell: 255.5
! Uncorrected energy in eV per atom: -4.989

---

[13]
! InCoCuSe3 (PBE, optimized geometry); values from VASP
&SYSTEM
  ibrav = 0, nat = 12, ntyp = 4
/
ATOMIC_SPECIES
In 114.82 In.upf
Co 58.93 Co.upf
Cu 63.55 Cu.upf
Se 78.96 Se.upf
CELL_PARAMETERS angstrom
1.8235 -6.7131 0.0000
1.8235 6.7131 0.0000
0.0000 0.0000 9.5244
ATOMIC_POSITIONS angstrom
In 1.8235 3.5749 7.1433
In 1.8235 -3.5749 2.3811
Co 0.0000 0.0000 0.0000
Co 0.0000 0.0000 4.7622
Cu 1.8235 0.4283 2.3811
Cu 1.8235 -0.4283 7.1433
Se 1.8235 5.6409 2.3811
Se 1.8235 1.6363 0.3354
Se 1.8235 1.6363 4.4268
Se 1.8235 -1.6363 5.0976
Se 1.8235 -1.6363 9.1889
Se 1.8235 -5.6409 7.1433
! Calculated volume in Å³/cell: 233.2
! Uncorrected energy in eV per atom: -4.135

---

[14]
! InCoCuTc (PBE, optimized geometry); values from VASP
&SYSTEM
  ibrav = 0, nat = 16, ntyp = 4
/
ATOMIC_SPECIES
In 114.82 In.upf
Co 58.93 Co.upf
Cu 63.55 Cu.upf
Tc 98.00 Tc.upf
CELL_PARAMETERS angstrom
6.1177 0.0000 0.0000
0.0000 6.1177 0.0000
0.0000 0.0000 6.1177
ATOMIC_POSITIONS angstrom
In 0.0000 0.0000 0.0000
In 0.0000 3.0588 3.0588
In 3.0588 0.0000 3.0588
In 3.0588 3.0588 0.0000
Co 1.5294 1.5294 1.5294
Co 1.5294 4.5882 4.5882
Co 4.5882 1.5294 4.5882
Co 4.5882 4.5882 1.5294
Cu 1.5294 1.5294 4.5882
Cu 1.5294 4.5882 1.5294
Cu 4.5882 1.5294 1.5294
Cu 4.5882 4.5882 4.5882
Tc 0.0000 0.0000 3.0588
Tc 0.0000 3.0588 0.0000
Tc 3.0588 0.0000 0.0000
Tc 3.0588 3.0588 3.0588
! Calculated volume in Å³/cell: 229.0
! Uncorrected energy in eV per atom: -5.710

---

[15]
! InCoCuW (PBE, optimized geometry); values from VASP
&SYSTEM
  ibrav = 0, nat = 16, ntyp = 4
/
ATOMIC_SPECIES
In 114.82 In.upf
Co 58.93 Co.upf
Cu 63.55 Cu.upf
W 183.84 W.upf
CELL_PARAMETERS angstrom
6.2133 0.0000 0.0000
0.0000 6.2133 0.0000
0.0000 0.0000 6.2133
ATOMIC_POSITIONS angstrom
In 0.0000 0.0000 0.0000
In 0.0000 3.1066 3.1066
In 3.1066 0.0000 3.1066
In 3.1066 3.1066 0.0000
Co 0.0000 0.0000 3.1066
Co 0.0000 3.1066 0.0000
Co 3.1066 0.0000 0.0000
Co 3.1066 3.1066 3.1066
Cu 1.5533 1.5533 1.5533
Cu 1.5533 4.6600 4.6600
Cu 4.6600 1.5533 4.6600
Cu 4.6600 4.6600 1.5533
W 1.5533 1.5533 4.6600
W 1.5533 4.6600 1.5533
W 4.6600 1.5533 1.5533
W 4.6600 4.6600 4.6600
! Calculated volume in Å³/cell: 239.9
! Uncorrected energy in eV per atom: -6.072

---

[16]
! InCoCuW (PBE, optimized geometry); values from VASP
&SYSTEM
  ibrav = 0, nat = 16, ntyp = 4
/
ATOMIC_SPECIES
In 114.82 In.upf
Co 58.93 Co.upf
Cu 63.55 Cu.upf
W 183.84 W.upf
CELL_PARAMETERS angstrom
6.1376 0.0000 0.0000
0.0000 6.1376 0.0000
0.0000 0.0000 6.1376
ATOMIC_POSITIONS angstrom
In 0.0000 0.0000 0.0000
In 0.0000 3.0688 3.0688
In 3.0688 0.0000 3.0688
In 3.0688 3.0688 0.0000
Co 1.5344 1.5344 1.5344
Co 1.5344 4.6032 4.6032
Co 4.6032 1.5344 4.6032
Co 4.6032 4.6032 1.5344
Cu 1.5344 1.5344 4.6032
Cu 1.5344 4.6032 1.5344
Cu 4.6032 1.5344 1.5344
Cu 4.6032 4.6032 4.6032
W 0.0000 0.0000 3.0688
W 0.0000 3.0688 0.0000
W 3.0688 0.0000 0.0000
W 3.0688 3.0688 3.0688
! Calculated volume in Å³/cell: 231.2
! Uncorrected energy in eV per atom: -6.267

---

[17]
! YInCoCu (PBE, optimized geometry); values from VASP
&SYSTEM
  ibrav = 0, nat = 16, ntyp = 4
/
ATOMIC_SPECIES
Y 88.91 Y.upf
In 114.82 In.upf
Co 58.93 Co.upf
Cu 63.55 Cu.upf
CELL_PARAMETERS angstrom
6.5706 0.0000 0.0000
0.0000 6.5706 0.0000
0.0000 0.0000 6.5706
ATOMIC_POSITIONS angstrom
Y 0.0000 0.0000 0.0000
Y 0.0000 3.2853 3.2853
Y 3.2853 0.0000 3.2853
Y 3.2853 3.2853 0.0000
In 0.0000 0.0000 3.2853
In 0.0000 3.2853 0.0000
In 3.2853 0.0000 0.0000
In 3.2853 3.2853 3.2853
Co 1.6427 1.6427 4.9280
Co 1.6427 4.9280 1.6427
Co 4.9280 1.6427 1.6427
Co 4.9280 4.9280 4.9280
Cu 1.6427 1.6427 1.6427
Cu 1.6427 4.9280 4.9280
Cu 4.9280 1.6427 4.9280
Cu 4.9280 4.9280 1.6427
! Calculated volume in Å³/cell: 283.7
! Uncorrected energy in eV per atom: -5.155

---

[18]
! YInCoCu (PBE, optimized geometry); values from VASP
&SYSTEM
  ibrav = 0, nat = 16, ntyp = 4
/
ATOMIC_SPECIES
Y 88.91 Y.upf
In 114.82 In.upf
Co 58.93 Co.upf
Cu 63.55 Cu.upf
CELL_PARAMETERS angstrom
6.5836 0.0000 0.0000
0.0000 6.5836 0.0000
0.0000 0.0000 6.5836
ATOMIC_POSITIONS angstrom
Y 0.0000 0.0000 0.0000
Y 0.0000 3.2918 3.2918
Y 3.2918 0.0000 3.2918
Y 3.2918 3.2918 0.0000
In 1.6459 1.6459 1.6459
In 1.6459 4.9377 4.9377
In 4.9377 1.6459 4.9377
In 4.9377 4.9377 1.6459
Co 1.6459 1.6459 4.9377
Co 1.6459 4.9377 1.6459
Co 4.9377 1.6459 1.6459
Co 4.9377 4.9377 4.9377
Cu 0.0000 0.0000 3.2918
Cu 0.0000 3.2918 0.0000
Cu 3.2918 0.0000 0.0000
Cu 3.2918 3.2918 3.2918
! Calculated volume in Å³/cell: 285.4
! Uncorrected energy in eV per atom: -4.873

---

[19]
! CoCuSiIr (PBE, optimized geometry); values from VASP
&SYSTEM
  ibrav = 0, nat = 16, ntyp = 4
/
ATOMIC_SPECIES
Co 58.93 Co.upf
Cu 63.55 Cu.upf
Si 28.09 Si.upf
Ir 192.22 Ir.upf
CELL_PARAMETERS angstrom
5.7713 0.0000 0.0000
0.0000 5.7713 0.0000
0.0000 0.0000 5.7713
ATOMIC_POSITIONS angstrom
Co 0.0000 0.0000 0.0000
Co 0.0000 2.8857 2.8857
Co 2.8857 0.0000 2.8857
Co 2.8857 2.8857 0.0000
Cu 1.4428 1.4428 1.4428
Cu 1.4428 4.3285 4.3285
Cu 4.3285 1.4428 4.3285
Cu 4.3285 4.3285 1.4428
Si 1.4428 1.4428 4.3285
Si 1.4428 4.3285 1.4428
Si 4.3285 1.4428 1.4428
Si 4.3285 4.3285 4.3285
Ir 0.0000 0.0000 2.8857
Ir 0.0000 2.8857 0.0000
Ir 2.8857 0.0000 0.0000
Ir 2.8857 2.8857 2.8857
! Calculated volume in Å³/cell: 192.2
! Uncorrected energy in eV per atom: -6.558

---

[20]
! KCoCuRe (PBE, optimized geometry); values from VASP
&SYSTEM
  ibrav = 0, nat = 16, ntyp = 4
/
ATOMIC_SPECIES
K 39.10 K.upf
Co 58.93 Co.upf
Cu 63.55 Cu.upf
Re 186.21 Re.upf
CELL_PARAMETERS angstrom
6.2728 0.0000 0.0000
0.0000 6.2728 0.0000
0.0000 0.0000 6.2728
ATOMIC_POSITIONS angstrom
K 0.0000 0.0000 0.0000
K 0.0000 3.1364 3.1364
K 3.1364 0.0000 3.1364
K 3.1364 3.1364 0.0000
Co 0.0000 0.0000 3.1364
Co 0.0000 3.1364 0.0000
Co 3.1364 0.0000 0.0000
Co 3.1364 3.1364 3.1364
Cu 1.5682 1.5682 1.5682
Cu 1.5682 4.7046 4.7046
Cu 4.7046 1.5682 4.7046
Cu 4.7046 4.7046 1.5682
Re 1.5682 1.5682 4.7046
Re 1.5682 4.7046 1.5682
Re 4.7046 1.5682 1.5682
Re 4.7046 4.7046 4.7046
! Calculated volume in Å³/cell: 246.8
! Uncorrected energy in eV per atom: -4.531